[1]
Computed, not measured: crystalline Y2In8Ni at its relaxed geometry at the PBE level of DFT.

Values from the calculation:
The total energy comes out at -44.17 eV/cell. As for the magnetic moment: 0.00 μB per cell. The space group is No. 123.

Cell: 4.633 4.633 12.112 Å, 90.00 90.00 90.00°
Element x y z (fractional)
Y  0.000  0.000  0.190
Y  0.000  0.000  0.810
In  0.000  0.500  0.000
In  0.000  0.500  0.379
In  0.000  0.500  0.621
In  0.500  0.000  0.000
In  0.500  0.000  0.379
In  0.500  0.000  0.621
In  0.500  0.500  0.192
In  0.500  0.500  0.808
Ni  0.000  0.000  0.500

=====

[2]
Computed, not measured: crystalline YInNi at its relaxed geometry at the PBE level of DFT.

Values from the calculation:
The total energy comes out at -13.77 eV/cell. As for the magnetic moment: 0.02 μB per cell. The space group is No. 216.

Cell: 4.758 4.758 4.758 Å, 60.00 60.00 60.00°
Element x y z (fractional)
Y  0.000  0.000  0.000
In  0.750  0.750  0.750
Ni  0.250  0.250  0.250

=====

[3]
Computed, not measured: crystalline YInNi at its relaxed geometry at the PBE level of DFT.

Values from the calculation:
The total energy comes out at -44.08 eV/cell. As for the magnetic moment: 0.12 μB per cell. The space group is No. 189.

Cell: 8.226 8.226 3.247 Å, 90.00 90.00 120.00°
Element x y z (fractional)
Y  0.000  0.300  0.000
Y  0.300  0.000  0.000
Y  0.700  0.700  0.000
In  0.000  0.000  0.500
In  0.333  0.667  0.000
In  0.667  0.333  0.000
Ni  0.000  0.633  0.500
Ni  0.367  0.367  0.500
Ni  0.633  0.000  0.500

=====

[4]
Computed, not measured: crystalline YInNi at its relaxed geometry at the PBE level of DFT.

Values from the calculation:
The total energy comes out at -46.87 eV/cell. As for the magnetic moment: 0.02 μB per cell. The space group is No. 189.

Cell: 6.947 6.947 4.496 Å, 90.00 90.00 120.00°
Element x y z (fractional)
Y  0.000  0.556  0.000
Y  0.444  0.444  0.000
Y  0.556  0.000  0.000
In  0.000  0.000  0.000
In  0.333  0.667  0.500
In  0.667  0.333  0.500
Ni  0.000  0.222  0.500
Ni  0.222  0.000  0.500
Ni  0.778  0.778  0.500

=====

[5]
Computed, not measured: crystalline Y11In9Ni4 at its relaxed geometry at the PBE level of DFT.

Values from the calculation:
The total energy comes out at -130.38 eV/cell. As for the magnetic moment: 0.02 μB per cell. The space group is No. 65.

Cell: 13.537 13.537 3.667 Å, 90.00 90.00 113.09°
Element x y z (fractional)
Y  0.000  0.000  0.000
Y  0.078  0.415  0.000
Y  0.162  0.838  0.000
Y  0.314  0.314  0.000
Y  0.377  0.623  0.000
Y  0.415  0.078  0.000
Y  0.585  0.922  0.000
Y  0.623  0.377  0.000
Y  0.686  0.686  0.000
Y  0.838  0.162  0.000
Y  0.922  0.585  0.000
In  0.081  0.219  0.500
In  0.165  0.630  0.500
In  0.219  0.081  0.500
In  0.370  0.835  0.500
In  0.500  0.500  0.500
In  0.630  0.165  0.500
In  0.781  0.919  0.500
In  0.835  0.370  0.500
In  0.919  0.781  0.500
Ni  0.244  0.447  0.500
Ni  0.447  0.244  0.500
Ni  0.553  0.756  0.500
Ni  0.756  0.553  0.500

=====

[6]
Computed, not measured: crystalline YIn2Ni9 at its relaxed geometry at the PBE level of DFT.

Values from the calculation:
The total energy comes out at -129.61 eV/cell. As for the magnetic moment: 0.22 μB per cell. The space group is No. 127.

Cell: 8.225 8.225 4.824 Å, 90.00 90.00 90.00°
Element x y z (fractional)
Y  0.000  0.000  0.000
Y  0.500  0.500  0.000
In  0.125  0.375  0.000
In  0.375  0.875  0.000
In  0.625  0.125  0.000
In  0.875  0.625  0.000
Ni  0.000  0.500  0.500
Ni  0.063  0.206  0.500
Ni  0.177  0.677  0.249
Ni  0.177  0.677  0.751
Ni  0.206  0.937  0.500
Ni  0.294  0.437  0.500
Ni  0.323  0.177  0.249
Ni  0.323  0.177  0.751
Ni  0.437  0.706  0.500
Ni  0.500  0.000  0.500
Ni  0.563  0.294  0.500
Ni  0.677  0.823  0.249
Ni  0.677  0.823  0.751
Ni  0.706  0.563  0.500
Ni  0.794  0.063  0.500
Ni  0.823  0.323  0.249
Ni  0.823  0.323  0.751
Ni  0.937  0.794  0.500

=====

[7]
Computed, not measured: crystalline YIn2Ni2 at its relaxed geometry at the PBE level of DFT.

Values from the calculation:
The total energy comes out at -24.06 eV/cell. As for the magnetic moment: 0.00 μB per cell. The space group is No. 139.

Cell: 6.168 6.168 6.168 Å, 139.11 139.11 59.20°
Element x y z (fractional)
Y  0.000  0.000  0.000
In  0.370  0.370  0.000
In  0.630  0.630  0.000
Ni  0.250  0.750  0.500
Ni  0.750  0.250  0.500

=====

[8]
Computed, not measured: crystalline YZnInNi at its relaxed geometry at the PBE level of DFT.

Values from the calculation:
The total energy comes out at -32.61 eV/cell. As for the magnetic moment: 0.01 μB per cell. The space group is No. 35.

Cell: 9.027 9.027 4.809 Å, 90.00 90.00 152.73°
Element x y z (fractional)
Y  0.124  0.876  0.000
Y  0.876  0.124  0.000
Zn  0.284  0.716  0.307
Zn  0.716  0.284  0.307
In  0.423  0.577  0.523
In  0.577  0.423  0.523
Ni  0.288  0.712  0.803
Ni  0.712  0.288  0.803

=====

[9]
Computed, not measured: crystalline Zn2In4Ni at its relaxed geometry at the PBE level of DFT.

Values from the calculation:
The total energy comes out at -17.34 eV/cell. As for the magnetic moment: 0.01 μB per cell. The space group is No. 156.

Cell: 4.263 4.263 11.705 Å, 90.00 90.00 120.00°
Element x y z (fractional)
Zn  0.000  0.000  0.000
Zn  0.333  0.667  0.338
In  0.000  0.000  0.230
In  0.000  0.000  0.699
In  0.667  0.333  0.452
In  0.667  0.333  0.886
Ni  0.667  0.333  0.667

=====

[10]
Computed, not measured: crystalline Zr2In5Ni at its relaxed geometry at the PBE level of DFT.

Values from the calculation:
The total energy comes out at -154.14 eV/cell. As for the magnetic moment: 0.00 μB per cell. The space group is No. 136.

Cell: 10.147 10.147 7.090 Å, 90.00 90.00 90.00°
Element x y z (fractional)
Zr  0.160  0.160  0.000
Zr  0.203  0.203  0.500
Zr  0.297  0.703  0.000
Zr  0.340  0.660  0.500
Zr  0.660  0.340  0.500
Zr  0.703  0.297  0.000
Zr  0.797  0.797  0.500
Zr  0.840  0.840  0.000
In  0.000  0.000  0.299
In  0.000  0.000  0.701
In  0.058  0.701  0.277
In  0.058  0.701  0.723
In  0.201  0.442  0.223
In  0.201  0.442  0.777
In  0.299  0.942  0.277
In  0.299  0.942  0.723
In  0.442  0.201  0.223
In  0.442  0.201  0.777
In  0.500  0.500  0.201
In  0.500  0.500  0.799
In  0.558  0.799  0.223
In  0.558  0.799  0.777
In  0.701  0.058  0.277
In  0.701  0.058  0.723
In  0.799  0.558  0.223
In  0.799  0.558  0.777
In  0.942  0.299  0.277
In  0.942  0.299  0.723
Ni  0.114  0.886  0.000
Ni  0.386  0.386  0.500
Ni  0.614  0.614  0.500
Ni  0.886  0.114  0.000

=====

[11]
Computed, not measured: crystalline NpIn3 at its relaxed geometry at the PBE level of DFT.

Values from the calculation:
The total energy comes out at -21.14 eV/cell. As for the magnetic moment: 4.38 μB per cell. The space group is No. 221.

Cell: 4.636 4.636 4.636 Å, 90.00 90.00 90.00°
Element x y z (fractional)
Np  0.000  0.000  0.000
In  0.000  0.500  0.500
In  0.500  0.000  0.500
In  0.500  0.500  0.000

=====

[12]
Computed, not measured: crystalline PrNpIn at its relaxed geometry at the PBE level of DFT.

Values from the calculation:
The total energy comes out at -18.90 eV/cell. As for the magnetic moment: 5.19 μB per cell. The space group is No. 216. The relative energy among the computed polymorphs comes out at 0 meV per atom.

Cell: 5.222 5.222 5.222 Å, 60.00 60.00 60.00°
Element x y z (fractional)
Pr  0.000  0.000  0.000
Np  0.500  0.500  0.500
In  0.750  0.750  0.750

=====

[13]
Computed, not measured: crystalline PuNpIn at its relaxed geometry at the PBE level of DFT.

Values from the calculation:
The total energy comes out at -27.88 eV/cell. As for the magnetic moment: 10.65 μB per cell. The space group is No. 216. The relative energy among the computed polymorphs comes out at 0 meV per atom.

Cell: 5.062 5.062 5.062 Å, 60.00 60.00 60.00°
Element x y z (fractional)
Pu  0.000  0.000  0.000
Np  0.500  0.500  0.500
In  0.750  0.750  0.750

=====

[14]
Computed, not measured: crystalline RbNpIn at its relaxed geometry at the PBE level of DFT.

Values from the calculation:
The total energy comes out at -12.18 eV/cell. As for the magnetic moment: 5.51 μB per cell. The space group is No. 216.

Cell: 5.750 5.750 5.750 Å, 60.00 60.00 60.00°
Element x y z (fractional)
Rb  0.000  0.000  0.000
Np  0.250  0.250  0.250
In  0.750  0.750  0.750

=====

[15]
Computed, not measured: crystalline NpScIn at its relaxed geometry at the PBE level of DFT.

Values from the calculation:
The total energy comes out at -20.30 eV/cell. As for the magnetic moment: 5.38 μB per cell. The space group is No. 216. The relative energy among the computed polymorphs comes out at 0 meV per atom.

Cell: 4.988 4.988 4.988 Å, 60.00 60.00 60.00°
Element x y z (fractional)
Np  0.000  0.000  0.000
Sc  0.500  0.500  0.500
In  0.250  0.250  0.250

=====

[16]
Computed, not measured: crystalline NpInSi at its relaxed geometry at the PBE level of DFT.

Values from the calculation:
The total energy comes out at -20.43 eV/cell. As for the magnetic moment: 4.77 μB per cell. The space group is No. 216.

Cell: 4.657 4.657 4.657 Å, 60.00 60.00 60.00°
Element x y z (fractional)
Np  0.000  0.000  0.000
In  0.500  0.500  0.500
Si  0.750  0.750  0.750

=====

[17]
Computed, not measured: crystalline SmNpIn at its relaxed geometry at the PBE level of DFT.

Values from the calculation:
The total energy comes out at -18.86 eV/cell. As for the magnetic moment: 5.25 μB per cell. The space group is No. 216. The relative energy among the computed polymorphs comes out at 0 meV per atom.

Cell: 5.232 5.232 5.232 Å, 60.00 60.00 60.00°
Element x y z (fractional)
Sm  0.000  0.000  0.000
Np  0.500  0.500  0.500
In  0.750  0.750  0.750

=====

[18]
Computed, not measured: crystalline NpInSn2 at its relaxed geometry at the PBE level of DFT.

Values from the calculation:
The total energy comes out at -24.17 eV/cell. As for the magnetic moment: 4.10 μB per cell. The space group is No. 123.

Cell: 4.710 4.710 4.527 Å, 90.00 90.00 90.00°
Element x y z (fractional)
Np  0.000  0.000  0.000
In  0.500  0.500  0.000
Sn  0.000  0.500  0.500
Sn  0.500  0.000  0.500

=====

[19]
Computed, not measured: crystalline NpInTc at its relaxed geometry at the PBE level of DFT.

Values from the calculation:
The total energy comes out at -22.79 eV/cell. As for the magnetic moment: 3.35 μB per cell. The space group is No. 216.

Cell: 4.599 4.599 4.599 Å, 60.00 60.00 60.00°
Element x y z (fractional)
Np  0.000  0.000  0.000
In  0.250  0.250  0.250
Tc  0.500  0.500  0.500

=====

[20]
Computed, not measured: crystalline NpInTe at its relaxed geometry at the PBE level of DFT.

Values from the calculation:
The total energy comes out at -18.17 eV/cell. As for the magnetic moment: 4.55 μB per cell. The space group is No. 216. The relative energy among the computed polymorphs comes out at 0 meV per atom.

Cell: 5.076 5.076 5.076 Å, 60.00 60.00 60.00°
Element x y z (fractional)
Np  0.000  0.000  0.000
In  0.500  0.500  0.500
Te  0.750  0.750  0.750